## CePu3N6 (PBE-GGA)

Data for a relaxed CePu3N6 crystal.

For the density of states at the Fermi level, the calculation gives 16.26 states/eV/f.u. The calculation puts the uncorrected formation energy at -10.55 eV per formula unit. For the total energy, the calculation gives -109.43 eV per formula unit.

The structure in CIF format:
```
data_CePu3N6
_chemical_formula_sum 'Ce2 Pu6 N12'
_symmetry_space_group_name_H-M 'C m m m'
_symmetry_Int_Tables_number 65
_symmetry_space_group_name_Hall '-C 2 2'
_cell_length_a 7.5646
_cell_length_b 10.9431
_cell_length_c 3.6116
_cell_angle_alpha 90.00
_cell_angle_beta 90.00
_cell_angle_gamma 90.00
loop_
_atom_site_label
_atom_site_fract_x
_atom_site_fract_y
_atom_site_fract_z
_atom_site_occupancy
Ce1 0.0000 0.0000 0.0000 1
Pu1 0.0000 0.5000 0.0000 1
Pu2 0.2500 0.2500 0.5000 1
N1 0.0000 0.1494 0.5000 1
N2 0.2070 0.3726 0.0000 1
```

=====

## Ce3Pu2N4 (PBE-GGA)

Data for a relaxed Ce3Pu2N4 crystal.

For the density of states at the Fermi level, the calculation gives 14.99 states/eV/f.u. The calculation puts the uncorrected formation energy at -10.92 eV per formula unit. For the total energy, the calculation gives -90.68 eV per formula unit.

The structure in CIF format:
```
data_Ce3Pu2N4
_chemical_formula_sum 'Ce6 Pu4 N8'
_symmetry_space_group_name_H-M 'C 1 2/m 1'
_symmetry_Int_Tables_number 12
_symmetry_space_group_name_Hall '-C 2y'
_cell_length_a 11.7728
_cell_length_b 3.5184
_cell_length_c 8.7135
_cell_angle_alpha 90.00
_cell_angle_beta 120.06
_cell_angle_gamma 90.00
loop_
_atom_site_label
_atom_site_fract_x
_atom_site_fract_y
_atom_site_fract_z
_atom_site_occupancy
Ce1 0.0000 0.0000 0.0000 1
Ce2 0.2025 0.0000 0.8017 1
Pu1 0.1021 0.5000 0.3930 1
N1 0.1072 0.5000 0.9058 1
N2 0.1968 0.0000 0.3161 1
```

=====

## Ce2PuN4 (PBE-GGA)

Data for a relaxed Ce2PuN4 crystal.

For the density of states at the Fermi level, the calculation gives 11.59 states/eV/f.u. The calculation puts the uncorrected formation energy at -9.15 eV per formula unit. For the total energy, the calculation gives -68.65 eV per formula unit.

The structure in CIF format:
```
data_Ce2PuN4
_chemical_formula_sum 'Ce4 Pu2 N8'
_symmetry_space_group_name_H-M 'P b a m'
_symmetry_Int_Tables_number 55
_symmetry_space_group_name_Hall '-P 2 2ab'
_cell_length_a 5.8867
_cell_length_b 10.1590
_cell_length_c 3.5305
_cell_angle_alpha 90.00
_cell_angle_beta 90.00
_cell_angle_gamma 90.00
loop_
_atom_site_label
_atom_site_fract_x
_atom_site_fract_y
_atom_site_fract_z
_atom_site_occupancy
Ce1 0.0535 0.1732 0.0000 1
Pu1 0.0000 0.5000 0.5000 1
N1 0.1561 0.6957 0.5000 1
N2 0.2445 0.4651 0.0000 1
```

=====

## CePu2N3 (PBE-GGA)

Data for a relaxed CePu2N3 crystal.

For the density of states at the Fermi level, the calculation gives 11.89 states/eV/f.u. The calculation puts the uncorrected formation energy at -8.00 eV per formula unit. As for the energy above the most stable polymorph in this dataset: 0 kJ/mol of formula units. For the total energy, the calculation gives -67.57 eV per formula unit.

The structure in CIF format:
```
data_CePu2N3
_chemical_formula_sum 'Ce2 Pu4 N6'
_symmetry_space_group_name_H-M 'I m m m'
_symmetry_Int_Tables_number 71
_symmetry_space_group_name_Hall '-I 2 2'
_cell_length_a 3.5224
_cell_length_b 4.9719
_cell_length_c 10.5250
_cell_angle_alpha 90.00
_cell_angle_beta 90.00
_cell_angle_gamma 90.00
loop_
_atom_site_label
_atom_site_fract_x
_atom_site_fract_y
_atom_site_fract_z
_atom_site_occupancy
Ce1 0.0000 0.0000 0.0000 1
Pu1 0.0000 0.0000 0.3336 1
N1 0.0000 0.5000 0.0000 1
N2 0.0000 0.5000 0.3240 1
```

=====

## Ce3PuN4 (PBE-GGA)

Data for a relaxed Ce3PuN4 crystal.

For the density of states at the Fermi level, the calculation gives 9.79 states/eV/f.u. The calculation puts the uncorrected formation energy at -11.50 eV per formula unit. As for the energy above the most stable polymorph in this dataset: 0 kJ/mol of formula units. For the total energy, the calculation gives -76.93 eV per formula unit.

The structure in CIF format:
```
data_Ce3PuN4
_chemical_formula_sum 'Ce6 Pu2 N8'
_symmetry_space_group_name_H-M 'C m m m'
_symmetry_Int_Tables_number 65
_symmetry_space_group_name_Hall '-C 2 2'
_cell_length_a 7.0990
_cell_length_b 10.0556
_cell_length_c 3.5533
_cell_angle_alpha 90.00
_cell_angle_beta 90.00
_cell_angle_gamma 90.00
loop_
_atom_site_label
_atom_site_fract_x
_atom_site_fract_y
_atom_site_fract_z
_atom_site_occupancy
Ce1 0.0000 0.0000 0.0000 1
Ce2 0.2500 0.2500 0.5000 1
Pu1 0.0000 0.5000 0.0000 1
N1 0.0000 0.2517 0.0000 1
N2 0.2433 0.5000 0.5000 1
```

=====

## Ce4PuN4 (PBE-GGA)

Data for a relaxed Ce4PuN4 crystal.

For the density of states at the Fermi level, the calculation gives 15.15 states/eV/f.u. The calculation puts the uncorrected formation energy at -11.22 eV per formula unit. For the total energy, the calculation gives -82.59 eV per formula unit.

The structure in CIF format:
```
data_Ce4PuN4
_chemical_formula_sum 'Ce8 Pu2 N8'
_symmetry_space_group_name_H-M 'I 4/m'
_symmetry_Int_Tables_number 87
_symmetry_space_group_name_Hall '-I 4'
_cell_length_a 7.8539
_cell_length_b 7.8539
_cell_length_c 5.0488
_cell_angle_alpha 90.00
_cell_angle_beta 90.00
_cell_angle_gamma 90.00
loop_
_atom_site_label
_atom_site_fract_x
_atom_site_fract_y
_atom_site_fract_z
_atom_site_occupancy
Ce1 0.0997 0.6995 0.0000 1
Pu1 0.0000 0.0000 0.5000 1
N1 0.0925 0.6991 0.5000 1
```

=====

## CePu4N4 (PBE-GGA)

Data for a relaxed CePu4N4 crystal.

For the density of states at the Fermi level, the calculation gives 22.19 states/eV/f.u. The calculation puts the uncorrected formation energy at -9.86 eV per formula unit. For the total energy, the calculation gives -106.42 eV per formula unit.

The structure in CIF format:
```
data_CePu4N4
_chemical_formula_sum 'Ce2 Pu8 N8'
_symmetry_space_group_name_H-M 'I 4/m'
_symmetry_Int_Tables_number 87
_symmetry_space_group_name_Hall '-I 4'
_cell_length_a 7.8238
_cell_length_b 7.8238
_cell_length_c 4.9476
_cell_angle_alpha 90.00
_cell_angle_beta 90.00
_cell_angle_gamma 90.00
loop_
_atom_site_label
_atom_site_fract_x
_atom_site_fract_y
_atom_site_fract_z
_atom_site_occupancy
Ce1 0.0000 0.0000 0.0000 1
Pu1 0.1026 0.6962 0.5000 1
N1 0.0907 0.6877 0.0000 1
```

=====

## Ce2PuRhN4 (PBE-GGA)

Data for a relaxed Ce2PuRhN4 crystal.

For the density of states at the Fermi level, the calculation gives 10.62 states/eV/f.u. The calculation puts the uncorrected formation energy at -7.73 eV per formula unit. For the total energy, the calculation gives -74.58 eV per formula unit.

The structure in CIF format:
```
data_Ce2PuRhN4
_chemical_formula_sum 'Ce8 Pu4 Rh4 N16'
_symmetry_space_group_name_H-M 'C m c m'
_symmetry_Int_Tables_number 63
_symmetry_space_group_name_Hall '-C 2c 2'
_cell_length_a 3.4000
_cell_length_b 11.6743
_cell_length_c 11.8047
_cell_angle_alpha 90.00
_cell_angle_beta 90.00
_cell_angle_gamma 90.00
loop_
_atom_site_label
_atom_site_fract_x
_atom_site_fract_y
_atom_site_fract_z
_atom_site_occupancy
Ce1 0.0000 0.1298 0.0552 1
Pu1 0.0000 0.3852 0.2500 1
Rh1 0.0000 0.3515 0.7500 1
N1 0.0000 0.0327 0.2500 1
N2 0.0000 0.2205 0.6255 1
N3 0.0000 0.5000 0.0000 1
```

=====

## CePu2RhN4 (PBE-GGA)

Data for a relaxed CePu2RhN4 crystal.

For the density of states at the Fermi level, the calculation gives 15.01 states/eV/f.u. The calculation puts the uncorrected formation energy at -7.69 eV per formula unit. For the total energy, the calculation gives -82.94 eV per formula unit.

The structure in CIF format:
```
data_CePu2RhN4
_chemical_formula_sum 'Ce4 Pu8 Rh4 N16'
_symmetry_space_group_name_H-M 'C m c m'
_symmetry_Int_Tables_number 63
_symmetry_space_group_name_Hall '-C 2c 2'
_cell_length_a 3.4255
_cell_length_b 11.4367
_cell_length_c 11.6630
_cell_angle_alpha 90.00
_cell_angle_beta 90.00
_cell_angle_gamma 90.00
loop_
_atom_site_label
_atom_site_fract_x
_atom_site_fract_y
_atom_site_fract_z
_atom_site_occupancy
Ce1 0.0000 0.1106 0.2500 1
Pu1 0.0000 0.3706 0.0548 1
Rh1 0.0000 0.1508 0.7500 1
N1 0.0000 0.0000 0.0000 1
N2 0.0000 0.2721 0.6117 1
N3 0.0000 0.4608 0.2500 1
```

=====

## CePuSN2 (PBE-GGA)

Data for a relaxed CePuSN2 crystal.

For the density of states at the Fermi level, the calculation gives 6.24 states/eV/f.u. The calculation puts the uncorrected formation energy at -7.24 eV per formula unit. For the total energy, the calculation gives -48.28 eV per formula unit.

The structure in CIF format:
```
data_CePuSN2
_chemical_formula_sum 'Ce2 Pu2 S2 N4'
_symmetry_space_group_name_H-M 'I 4 m m'
_symmetry_Int_Tables_number 107
_symmetry_space_group_name_Hall 'I 4 -2'
_cell_length_a 3.8120
_cell_length_b 3.8120
_cell_length_c 11.9789
_cell_angle_alpha 90.00
_cell_angle_beta 90.00
_cell_angle_gamma 90.00
loop_
_atom_site_label
_atom_site_fract_x
_atom_site_fract_y
_atom_site_fract_z
_atom_site_occupancy
Ce1 0.0000 0.0000 0.0000 1
Pu1 0.0000 0.0000 0.3035 1
S1 0.0000 0.0000 0.6439 1
N1 0.0000 0.5000 0.3931 1
```

=====

## Ce2PuSbN2 (PBE-GGA)

Data for a relaxed Ce2PuSbN2 crystal.

For the density of states at the Fermi level, the calculation gives 13.04 states/eV/f.u. The calculation puts the uncorrected formation energy at -6.56 eV per formula unit. For the total energy, the calculation gives -53.54 eV per formula unit.

The structure in CIF format:
```
data_Ce2PuSbN2
_chemical_formula_sum 'Ce2 Pu1 Sb1 N2'
_symmetry_space_group_name_H-M 'P 4/m m m'
_symmetry_Int_Tables_number 123
_symmetry_space_group_name_Hall '-P 4 2'
_cell_length_a 4.3666
_cell_length_b 4.3666
_cell_length_c 6.6114
_cell_angle_alpha 90.00
_cell_angle_beta 90.00
_cell_angle_gamma 90.00
loop_
_atom_site_label
_atom_site_fract_x
_atom_site_fract_y
_atom_site_fract_z
_atom_site_occupancy
Ce1 0.0000 0.0000 0.2375 1
Pu1 0.5000 0.5000 0.0000 1
Sb1 0.5000 0.5000 0.5000 1
N1 0.0000 0.5000 0.0000 1
```